Record 1
Below is a relaxed Tb3SmNi8 crystal, with properties calculated at the PBE level.

Unit cell a=5.0864 b=5.0864 c=24.9913 alpha=90.00 beta=90.00 gamma=120.00
Space group R3m (No. 160, hexagonal axes)
Symmetry-distinct sites (fractional):
Tb1 0.0000 0.0000 0.0000 (multiplicity 3)
Tb2 0.0000 0.0000 0.1246 (multiplicity 3)
Tb3 0.0000 0.0000 0.4994 (multiplicity 3)
Sm1 0.0000 0.0000 0.6245 (multiplicity 3)
Ni1 0.0000 0.0000 0.3122 (multiplicity 3)
Ni2 0.0000 0.0000 0.8120 (multiplicity 3)
Ni3 0.9998 0.4999 0.5615 (multiplicity 9)
Ni4 0.0013 0.5006 0.0626 (multiplicity 9)

Summary:
**Total magnetization**: 0.000 μB per atom
**Formation enthalpy at 0 K**: -416 meV/atom
**DOS(E_F)**: 0.558 states/eV/atom
**Total energy**: -0.214 hartree per atom


Record 2
Below is a relaxed TbSmNi crystal, with properties calculated at the PBE level.

Unit cell a=3.5906 b=3.5906 c=7.3633 alpha=90.00 beta=90.00 gamma=120.00
Space group P3m1 (No. 156)
Symmetry-distinct sites (fractional):
Tb1 0.0000 0.0000 0.0000 (multiplicity 1)
Sm1 0.3333 0.6667 0.4116 (multiplicity 1)
Ni1 0.3333 0.6667 0.7702 (multiplicity 1)

Summary:
**Total magnetization**: 0.000 μB per atom
**Formation enthalpy at 0 K**: 247 meV/atom
**DOS(E_F)**: 1.334 states/eV/atom
**E above lowest polymorph**: 48.1 kJ/mol of atoms
**Total energy**: -0.176 hartree per atom


- Number 1 is which compound?
  Tb3SmNi8


- Number 2 is which compound?
  TbSmNi


Repeat the second record exactly.
Below is a relaxed TbSmNi crystal, with properties calculated at the PBE level.

Unit cell a=3.5906 b=3.5906 c=7.3633 alpha=90.00 beta=90.00 gamma=120.00
Space group P3m1 (No. 156)
Symmetry-distinct sites (fractional):
Tb1 0.0000 0.0000 0.0000 (multiplicity 1)
Sm1 0.3333 0.6667 0.4116 (multiplicity 1)
Ni1 0.3333 0.6667 0.7702 (multiplicity 1)

Summary:
**Total magnetization**: 0.000 μB per atom
**Formation enthalpy at 0 K**: 247 meV/atom
**DOS(E_F)**: 1.334 states/eV/atom
**E above lowest polymorph**: 48.1 kJ/mol of atoms
**Total energy**: -0.176 hartree per atom